! Ac2NpSiO8 (PBE, relaxed); values from VASP
&SYSTEM
  ibrav = 0, nat = 12, ntyp = 4
/
ATOMIC_SPECIES
O 16.00 O.upf
Np 237.00 Np.upf
Ac 227.00 Ac.upf
Si 28.09 Si.upf
ATOMIC_POSITIONS crystal
O 0.1440 0.8560 0.1860
O 0.7119 0.8560 0.1860
O 0.8560 0.1440 0.8140
O 0.3333 0.6667 0.5127
O 0.6667 0.3333 0.4873
O 0.1440 0.2881 0.1860
O 0.8560 0.7119 0.8140
O 0.2881 0.1440 0.8140
Np 0.0000 0.0000 0.5000
Ac 0.6667 0.3333 0.1301
Ac 0.3333 0.6667 0.8699
Si 0.0000 0.0000 0.0000
CELL_PARAMETERS angstrom
-5.0990 -1.7593 1.8021
4.7288 -2.0589 2.3963
-0.1069 4.3869 3.9802
! - D(E_F): 10.59 states/eV/f.u.
! - ρ: 8.48 g cm⁻³
! - M_tot: 3.805 μB per cell
! - Raw formation energy: -2390.3 meV/atom
! - E_tot: -7.9108 eV per atom